## YTl2Cu (PBE)

Data for an optimized crystal structure of YTl2Cu.

Computed properties:
**Offset from the most stable computed form**: 0.009 eV per atom
**Symmetry**: C2/m, No. 12
**ΔH_f (0 K)**: -7 kJ/mol of atoms

a = 7.947 Å, b = 4.577 Å, c = 5.890 Å
α = 90.00°, β = 116.59°, γ = 90.00°
Positions (direct):
Y: 0.000 0.000 0.000
Y: 0.500 0.500 0.000
Tl: 0.226 0.000 0.678
Tl: 0.274 0.500 0.322
Tl: 0.726 0.500 0.678
Tl: 0.774 0.000 0.322
Cu: 0.000 0.500 0.500
Cu: 0.500 0.000 0.500